Record 1
# PdN2O2, optimized geometry, DFT PBEsol
data_PdN2O2
_cell_length_a 3.811
_cell_length_b 3.811
_cell_length_c 4.065
_cell_angle_alpha 90.00
_cell_angle_beta 90.00
_cell_angle_gamma 90.00
_symmetry_space_group_name_H-M 'P 1'
_symmetry_Int_Tables_number 1
loop_
_symmetry_equiv_pos_as_xyz
'x,y,z'
loop_
_atom_site_label
_atom_site_fract_x
_atom_site_fract_y
_atom_site_fract_z
_atom_site_occupancy
Pd1 0.000 0.000 0.000 1
N1 0.000 0.000 0.500 1
N2 0.500 0.500 0.500 1
O1 0.000 0.500 0.000 1
O2 0.500 0.000 0.000 1
# * DOS(E_F): 2.2 states/eV/cell
# * VASP energy: -4.7872 eV/atom
# * raw formation energy: 1915 meV/atom

---

Record 2
# PdPtNO2, optimized geometry, DFT PBEsol
data_PdPtNO2
_cell_length_a 3.979
_cell_length_b 3.979
_cell_length_c 3.684
_cell_angle_alpha 90.00
_cell_angle_beta 90.00
_cell_angle_gamma 90.00
_symmetry_space_group_name_H-M 'P 1'
_symmetry_Int_Tables_number 1
loop_
_symmetry_equiv_pos_as_xyz
'x,y,z'
loop_
_atom_site_label
_atom_site_fract_x
_atom_site_fract_y
_atom_site_fract_z
_atom_site_occupancy
Pd1 0.000 0.000 0.000 1
Pt1 0.500 0.500 0.500 1
N1 0.000 0.000 0.500 1
O1 0.000 0.500 0.000 1
O2 0.500 0.000 0.000 1
# * DOS(E_F): 6.0 states/eV/cell
# * VASP energy: -5.2126 eV/atom
# * raw formation energy: 1177 meV/atom

---

Record 3
# RbPdNO2, optimized geometry, DFT PBEsol
data_RbPdNO2
_cell_length_a 4.740
_cell_length_b 4.740
_cell_length_c 5.032
_cell_angle_alpha 90.00
_cell_angle_beta 90.00
_cell_angle_gamma 90.00
_symmetry_space_group_name_H-M 'P 1'
_symmetry_Int_Tables_number 1
loop_
_symmetry_equiv_pos_as_xyz
'x,y,z'
loop_
_atom_site_label
_atom_site_fract_x
_atom_site_fract_y
_atom_site_fract_z
_atom_site_occupancy
Rb1 0.000 0.000 0.000 1
Pd1 0.500 0.500 0.500 1
N1 0.000 0.000 0.500 1
O1 0.000 0.500 0.000 1
O2 0.500 0.000 0.000 1
# * DOS(E_F): 5.4 states/eV/cell
# * VASP energy: -3.1008 eV/atom
# * raw formation energy: 2101 meV/atom